A relaxed Y3Ho4PuSe8 crystal. Source: Alexandria via LeMat-Bulk, functional PBE.

## Properties
ΔE_f (raw) (eV per atom): -1.727
Symmetry: R-3m (166)
E (eV/atom): -6.722

a = 8.156 Å, b = 8.156 Å, c = 8.155 Å
α = 119.99°, β = 120.00°, γ = 90.00°
Fractional coordinates of all 16 atoms:
1 Y 0.500 0.500 0.000
2 Y 0.500 0.500 0.500
3 Y 0.000 0.500 0.500
4 Ho 0.500 0.000 0.000
5 Ho 0.500 0.000 0.500
6 Ho 0.000 0.000 0.000
7 Ho 0.000 0.000 0.500
8 Pu 0.000 0.500 0.000
9 Se 0.252 0.754 0.002
10 Se 0.252 0.754 0.505
11 Se 0.249 0.247 0.498
12 Se 0.750 0.754 0.002
13 Se 0.250 0.246 0.998
14 Se 0.751 0.753 0.502
15 Se 0.748 0.246 0.495
16 Se 0.748 0.246 0.998

=====

A relaxed K3Rb3Hg4 crystal. Source: Alexandria via LeMat-Bulk, functional PBE.

## Properties
Symmetry: Amm2 (38)
Formation enthalpy at 0 K (eV/atom): -0.19
E (eV/atom): -0.932

a = 5.208 Å, b = 9.493 Å, c = 9.493 Å
α = 90.31°, β = 90.00°, γ = 90.00°
Fractional coordinates of all 10 atoms:
1 K 0.500 0.831 0.169
2 K 0.500 0.334 0.332
3 K 0.500 0.668 0.666
4 Rb 0.000 0.501 0.001
5 Rb 0.000 0.999 0.499
6 Rb 0.500 0.169 0.831
7 Hg 0.000 0.615 0.385
8 Hg 0.000 0.390 0.610
9 Hg 0.000 0.882 0.888
10 Hg 0.000 0.112 0.118

=====

A relaxed TbPr6Ho4 crystal. Source: Alexandria via LeMat-Bulk, functional PBE.

## Properties
Symmetry: I-42m (121)
Formation enthalpy at 0 K (eV/atom): 0.30
E (eV/atom): -4.395
ΔE to the lowest computed polymorph (eV/atom): 0.014

a = 6.845 Å, b = 6.845 Å, c = 9.565 Å
α = 110.97°, β = 110.97°, γ = 90.00°
Fractional coordinates of all 11 atoms:
1 Tb 0.500 0.500 0.000
2 Pr 0.870 0.486 0.357
3 Pr 0.486 0.870 0.357
4 Pr 0.514 0.514 0.643
5 Pr 0.000 0.500 0.000
6 Pr 0.130 0.130 0.643
7 Pr 0.500 0.000 0.000
8 Ho 0.061 0.711 0.772
9 Ho 0.939 0.939 0.228
10 Ho 0.711 0.061 0.772
11 Ho 0.289 0.289 0.228